(1)
A plane-wave DFT calculation with PBE-GGA was carried out for crystalline Sr2PmAlSe5 at its relaxed geometry.

* M_tot: 0.0 μB per formula unit
* uncorrected formation energy: -1.69 eV per atom
* total DFT energy (no corrections): -178.0 eV per cell

Structure (CIF):
```
data_Sr2PmAlSe5
_space_group_name_H-M_alt 'C m c 21'
_space_group_IT_number 36
_cell_length_a 4.154
_cell_length_b 18.839
_cell_length_c 12.980
_cell_angle_alpha 90.00
_cell_angle_beta 90.00
_cell_angle_gamma 90.00
loop_
_space_group_symop_operation_xyz
'x,y,z'
'-x,-y,z+1/2'
'-x,y,z'
'x,-y,z+1/2'
'x+1/2,y+1/2,z'
'-x+1/2,-y+1/2,z+1/2'
'-x+1/2,y+1/2,z'
'x+1/2,-y+1/2,z+1/2'
loop_
_atom_site_label
_atom_site_type_symbol
_atom_site_fract_x
_atom_site_fract_y
_atom_site_fract_z
Sr1 Sr 0.000 0.116 0.000
Sr2 Sr 0.000 0.121 0.646
Pm1 Pm 0.000 0.206 0.346
Al1 Al 0.000 0.443 0.744
Se1 Se 0.000 0.041 0.347
Se2 Se 0.000 0.295 0.999
Se3 Se 0.000 0.319 0.684
Se4 Se 0.000 0.357 0.325
Se5 Se 0.000 0.498 0.084
```

(2)
A plane-wave DFT calculation with PBE-GGA was carried out for crystalline Pm4AlTe2Se at its relaxed geometry.

* M_tot: 0.0 μB per formula unit
* uncorrected formation energy: -1.25 eV per atom
* total DFT energy (no corrections): -42.5 eV per cell

Structure (CIF):
```
data_Pm4AlTe2Se
_space_group_name_H-M_alt 'P 1 2/m 1'
_space_group_IT_number 10
_cell_length_a 7.574
_cell_length_b 4.296
_cell_length_c 7.720
_cell_angle_alpha 90.00
_cell_angle_beta 108.61
_cell_angle_gamma 90.00
loop_
_space_group_symop_operation_xyz
'x,y,z'
'-x,-y,-z'
'-x,y,-z'
'x,-y,z'
loop_
_atom_site_label
_atom_site_type_symbol
_atom_site_fract_x
_atom_site_fract_y
_atom_site_fract_z
Pm1 Pm 0.244 0.000 0.234
Pm2 Pm 0.255 0.500 0.773
Al1 Al 0.000 0.500 0.000
Te1 Te 0.000 0.000 0.500
Te2 Te 0.500 0.500 0.500
Se1 Se 0.500 0.000 0.000
```

(3)
A plane-wave DFT calculation with PBE-GGA was carried out for crystalline PmAlTl2Se4 at its relaxed geometry.

* M_tot: 0.0 μB per formula unit
* uncorrected formation energy: -0.90 eV per atom
* total DFT energy (no corrections): -137.5 eV per cell

Structure (CIF):
```
data_PmAlTl2Se4
_space_group_name_H-M_alt 'I m m a'
_space_group_IT_number 74
_space_group_name_Hall '-I 2b 2'
_cell_length_a 8.281
_cell_length_b 8.828
_cell_length_c 12.153
_cell_angle_alpha 90.00
_cell_angle_beta 90.00
_cell_angle_gamma 90.00
loop_
_atom_site_label
_atom_site_type_symbol
_atom_site_fract_x
_atom_site_fract_y
_atom_site_fract_z
Pm1 Pm 0.000 0.000 0.000
Al1 Al 0.250 0.250 0.250
Tl1 Tl 0.000 0.000 0.500
Tl2 Tl 0.250 0.250 0.750
Se1 Se 0.000 0.052 0.243
Se2 Se 0.233 0.250 0.029
```

(4)
A plane-wave DFT calculation with PBE-GGA was carried out for crystalline Pm2AlSi at its relaxed geometry.

* M_tot: 0.0 μB per formula unit
* uncorrected formation energy: -0.40 eV per atom
* total DFT energy (no corrections): -20.3 eV per cell

Structure (CIF):
```
data_Pm2AlSi
_space_group_name_H-M_alt 'P 4/m m m'
_space_group_IT_number 123
_space_group_name_Hall '-P 4 2'
_cell_length_a 3.818
_cell_length_b 3.818
_cell_length_c 6.656
_cell_angle_alpha 90.00
_cell_angle_beta 90.00
_cell_angle_gamma 90.00
loop_
_atom_site_label
_atom_site_type_symbol
_atom_site_fract_x
_atom_site_fract_y
_atom_site_fract_z
Pm1 Pm 0.000 0.000 0.234
Al1 Al 0.500 0.500 0.500
Si1 Si 0.500 0.500 0.000
```

(5)
A plane-wave DFT calculation with PBE-GGA was carried out for crystalline PmAlSi4 at its relaxed geometry.

* M_tot: 0.0 μB per formula unit
* uncorrected formation energy: -0.10 eV per atom
* total DFT energy (no corrections): -123.2 eV per cell

Structure (CIF):
```
data_PmAlSi4
_space_group_name_H-M_alt 'F -4 3 m'
_space_group_IT_number 216
_space_group_name_Hall 'F -4 2 3'
_cell_length_a 7.465
_cell_length_b 7.465
_cell_length_c 7.465
_cell_angle_alpha 90.00
_cell_angle_beta 90.00
_cell_angle_gamma 90.00
loop_
_atom_site_label
_atom_site_type_symbol
_atom_site_fract_x
_atom_site_fract_y
_atom_site_fract_z
Pm1 Pm 0.000 0.000 0.000
Al1 Al 0.250 0.250 0.750
Si1 Si 0.123 0.123 0.377
```

(6)
A plane-wave DFT calculation with PBE-GGA was carried out for crystalline Pm2AlSi4 at its relaxed geometry.

* M_tot: 0.0 μB per formula unit
* uncorrected formation energy: -0.34 eV per atom
* total DFT energy (no corrections): -149.2 eV per cell

Structure (CIF):
```
data_Pm2AlSi4
_space_group_name_H-M_alt 'F m m 2'
_space_group_IT_number 42
_space_group_name_Hall 'F 2 -2'
_cell_length_a 8.393
_cell_length_b 8.403
_cell_length_c 8.772
_cell_angle_alpha 90.00
_cell_angle_beta 90.00
_cell_angle_gamma 90.00
loop_
_atom_site_label
_atom_site_type_symbol
_atom_site_fract_x
_atom_site_fract_y
_atom_site_fract_z
Pm1 Pm 0.250 0.250 0.000
Al1 Al 0.000 0.000 0.248
Si1 Si 0.000 0.202 0.750
Si2 Si 0.202 0.000 0.750
```